Entry 1:
Rb2LiHoCl6 after structural relaxation, computed with PBEsol.

a b c (Å): 7.2237 7.2237 7.2237
angles (deg): 60.00 60.00 60.00
Closest atoms and distances in Å follow each position.
Fractional coordinates of all 10 atoms:
Li 0.5000 0.5000 0.5000  6 Cl 2.52
Ho 0.0000 0.0000 0.0000  6 Cl 2.58
Rb 0.7500 0.7500 0.7500  12 Cl 3.61
Rb 0.2500 0.2500 0.2500  12 Cl 3.61
Cl 0.2529 0.7471 0.7471  1 Li 2.52, 1 Ho 2.58
Cl 0.7471 0.7471 0.2529  1 Li 2.52, 1 Ho 2.58
Cl 0.7471 0.2529 0.7471  1 Li 2.52, 1 Ho 2.58
Cl 0.7471 0.2529 0.2529  1 Li 2.52, 1 Ho 2.58
Cl 0.2529 0.2529 0.7471  1 Li 2.52, 1 Ho 2.58
Cl 0.2529 0.7471 0.2529  1 Li 2.52, 1 Ho 2.58

Summary:
* raw total energy: -4.20 eV/atom
* M_tot: 0.00 μB/f.u.
* ΔE_f (raw): -2102 meV/atom



Entry 2:
Li3CrO4 after structural relaxation, computed with PBEsol.

a b c (Å): 4.8561 4.9792 5.7321
angles (deg): 90.00 90.00 109.88
Closest atoms and distances in Å follow each position.
Fractional coordinates of all 16 atoms:
Li 0.7502 0.0000 0.3699  6 O 2.03-2.06
Li 0.2502 0.0000 0.6301  6 O 2.03-2.06
Li 0.7504 0.5006 0.6185  6 O 1.98-2.17
Li 0.2504 0.5006 0.3815  6 O 1.98-2.17
Li 0.7502 0.4998 0.1243  6 O 2.00-2.21
Li 0.2502 0.4998 0.8757  6 O 2.00-2.21
Cr 0.2503 0.0001 0.1569  4 O 1.75-1.85
Cr 0.7503 0.0001 0.8431  4 O 1.75-1.85
O 0.9770 0.2386 0.6432  1 Cr 1.75
O 0.4770 0.2386 0.3568  1 Cr 1.75
O 0.5229 0.7614 0.6433  1 Cr 1.75
O 0.0229 0.7614 0.3567  1 Cr 1.75
O 0.5124 0.2153 0.8932  2 Cr 1.85-2.03, 2 Li 2.00-2.03
O 0.0124 0.2153 0.1068  2 Cr 1.85-2.03, 2 Li 2.00-2.03
O 0.9872 0.7843 0.8929  2 Cr 1.84-2.04, 2 Li 2.00-2.03
O 0.4872 0.7843 0.1071  2 Cr 1.84-2.04, 2 Li 2.00-2.03

Summary:
* raw total energy: -6.65 eV/atom
* M_tot: 1.00 μB/f.u.
* ΔE_f (raw): -2008 meV/atom
* ΔE to the lowest computed polymorph: 43 meV per atom



Entry 3:
AlCoSe2 after structural relaxation, computed with PBEsol.

a b c (Å): 3.4504 3.4504 7.6729
angles (deg): 77.01 77.01 60.00
Closest atoms and distances in Å follow each position.
Fractional coordinates of all 4 atoms:
Co 0.5000 0.5000 0.5000  6 Se 2.33
Al 0.0000 0.0000 0.0000  2 Se 2.50
Se 0.8877 0.8877 0.3370  3 Co 2.33, 1 Al 2.50
Se 0.1123 0.1123 0.6630  3 Co 2.33, 1 Al 2.50

Summary:
* raw total energy: -5.04 eV/atom
* M_tot: 0.00 μB/f.u.
* ΔE_f (raw): -153 meV/atom